# 1
The following is a DFT calculation (PBE) of a relaxed Tm3In2Sn crystal.

Energy of formation from the pure elements = -0.46 eV/atom
Distance to the lowest polymorph of the same formula = 0 kJ/mol of formula units
ρ = 9.13 g cm⁻³

Lattice parameters (Å, degrees): 5.2555 5.2555 6.5008 90.00 90.00 120.00
Fractional coordinates of all 6 atoms:
Tm1 0.0000 0.0000 0.0000
Tm2 0.3333 0.6667 0.6523
Tm3 0.6667 0.3333 0.3477
In1 0.3333 0.6667 0.1489
In2 0.6667 0.3333 0.8511
Sn1 0.0000 0.0000 0.5000

# 2
The following is a DFT calculation (PBE) of a relaxed Tm12In5Sn2 crystal.

Energy of formation from the pure elements = -0.14 eV/atom
ρ = 8.17 g cm⁻³

Lattice parameters (Å, degrees): 9.0267 9.0267 9.9783 95.76 95.76 45.58
Fractional coordinates of all 19 atoms:
Tm1 0.0173 0.0173 0.3050
Tm2 0.0740 0.5699 0.8928
Tm3 0.0925 0.6126 0.4448
Tm4 0.3874 0.9075 0.5552
Tm5 0.4035 0.4035 0.1817
Tm6 0.4301 0.9260 0.1072
Tm7 0.5699 0.0740 0.8928
Tm8 0.5965 0.5965 0.8183
Tm9 0.6126 0.0925 0.4448
Tm10 0.9075 0.3874 0.5552
Tm11 0.9260 0.4301 0.1072
Tm12 0.9827 0.9827 0.6950
In1 0.1621 0.1621 0.8287
In2 0.2136 0.2136 0.3422
In3 0.5000 0.5000 0.5000
In4 0.7864 0.7864 0.6578
In5 0.8379 0.8379 0.1713
Sn1 0.2209 0.7791 0.0000
Sn2 0.7791 0.2209 0.0000

# 3
The following is a DFT calculation (PBE) of a relaxed Tm2InSn3 crystal.

Energy of formation from the pure elements = -0.50 eV/atom
Distance to the lowest polymorph of the same formula = 0 kJ/mol of formula units
ρ = 8.83 g cm⁻³

Lattice parameters (Å, degrees): 7.9166 7.9166 4.5909 90.00 90.00 148.10
Fractional coordinates of all 6 atoms:
Tm1 0.1509 0.8491 0.0000
Tm2 0.8491 0.1509 0.0000
In1 0.0000 0.0000 0.5000
Sn1 0.3225 0.6775 0.5000
Sn2 0.5000 0.5000 0.0000
Sn3 0.6775 0.3225 0.5000

# 4
The following is a DFT calculation (PBE) of a relaxed TmInSn2 crystal.

Energy of formation from the pure elements = -0.37 eV/atom
Distance to the lowest polymorph of the same formula = 0 kJ/mol of formula units
ρ = 8.53 g cm⁻³

Lattice parameters (Å, degrees): 4.7167 4.7167 4.5632 90.00 90.00 90.00
Fractional coordinates of all 4 atoms:
Tm1 0.0000 0.0000 0.0000
In1 0.5000 0.5000 0.0000
Sn1 0.0000 0.5000 0.5000
Sn2 0.5000 0.0000 0.5000

# 5
The following is a DFT calculation (PBE) of a relaxed TmInSn3 crystal.

Energy of formation from the pure elements = -0.25 eV/atom
Distance to the lowest polymorph of the same formula = 0 kJ/mol of formula units
ρ = 8.06 g cm⁻³

Lattice parameters (Å, degrees): 13.2747 6.2364 6.3714 90.00 90.00 90.00
Fractional coordinates of all 20 atoms:
Tm1 0.1874 0.0132 0.2500
Tm2 0.1874 0.4868 0.7500
Tm3 0.8126 0.5132 0.2500
Tm4 0.8126 0.9868 0.7500
In1 0.3798 0.2500 0.0000
In2 0.3798 0.2500 0.5000
In3 0.6202 0.7500 0.0000
In4 0.6202 0.7500 0.5000
Sn1 0.0005 0.2500 0.0000
Sn2 0.0005 0.2500 0.5000
Sn3 0.2108 0.5176 0.2500
Sn4 0.2108 0.9824 0.7500
Sn5 0.4135 0.7103 0.7500
Sn6 0.4135 0.7897 0.2500
Sn7 0.5865 0.2103 0.7500
Sn8 0.5865 0.2897 0.2500
Sn9 0.7892 0.0176 0.2500
Sn10 0.7892 0.4824 0.7500
Sn11 0.9995 0.7500 0.0000
Sn12 0.9995 0.7500 0.5000

# 6
The following is a DFT calculation (PBE) of a relaxed Tm5In2Sn crystal.

Energy of formation from the pure elements = -0.45 eV/atom
ρ = 9.02 g cm⁻³

Lattice parameters (Å, degrees): 8.8365 8.8365 8.8365 125.66 125.66 80.45
Fractional coordinates of all 16 atoms:
Tm1 0.0000 0.0000 0.0000
Tm2 0.0041 0.5041 0.8141
Tm3 0.1901 0.0041 0.5000
Tm4 0.3099 0.8099 0.8141
Tm5 0.4959 0.3099 0.5000
Tm6 0.5000 0.5000 0.0000
Tm7 0.5041 0.6901 0.5000
Tm8 0.6901 0.1901 0.1859
Tm9 0.8099 0.9959 0.5000
Tm10 0.9959 0.4959 0.1859
In1 0.1370 0.3630 0.5000
In2 0.3630 0.8630 0.2261
In3 0.6370 0.1370 0.7739
In4 0.8630 0.6370 0.5000
Sn1 0.2500 0.2500 0.0000
Sn2 0.7500 0.7500 0.0000

# 7
The following is a DFT calculation (PBE) of a relaxed Tm5In3Sn crystal.

Energy of formation from the pure elements = -0.45 eV/atom
ρ = 9.01 g cm⁻³

Lattice parameters (Å, degrees): 9.2399 9.2399 6.5210 90.00 90.00 120.00
Fractional coordinates of all 18 atoms:
Tm1 0.0000 0.2802 0.2500
Tm2 0.0000 0.7198 0.7500
Tm3 0.2802 0.0000 0.2500
Tm4 0.2802 0.2802 0.7500
Tm5 0.3333 0.6667 0.0000
Tm6 0.3333 0.6667 0.5000
Tm7 0.6667 0.3333 0.0000
Tm8 0.6667 0.3333 0.5000
Tm9 0.7198 0.0000 0.7500
Tm10 0.7198 0.7198 0.2500
In1 0.0000 0.3827 0.7500
In2 0.0000 0.6173 0.2500
In3 0.3827 0.0000 0.7500
In4 0.3827 0.3827 0.2500
In5 0.6173 0.0000 0.2500
In6 0.6173 0.6173 0.7500
Sn1 0.0000 0.0000 0.0000
Sn2 0.0000 0.0000 0.5000

# 8
The following is a DFT calculation (PBE) of a relaxed Tm2InSn crystal.

Energy of formation from the pure elements = -0.55 eV/atom
ρ = 8.79 g cm⁻³

Lattice parameters (Å, degrees): 4.2638 6.0635 6.0635 43.52 90.00 90.00
Fractional coordinates of all 4 atoms:
Tm1 0.0000 0.0000 0.0000
Tm2 0.5000 0.2705 0.2705
In1 0.0000 0.7269 0.7269
Sn1 0.5000 0.5458 0.5458

# 9
The following is a DFT calculation (PBE) of a relaxed Tm4InSn crystal.

Energy of formation from the pure elements = -0.21 eV/atom
ρ = 8.13 g cm⁻³

Lattice parameters (Å, degrees): 11.0642 11.0642 6.4193 90.00 90.00 151.80
Fractional coordinates of all 12 atoms:
Tm1 0.0643 0.9357 0.7500
Tm2 0.2042 0.7958 0.5045
Tm3 0.2042 0.7958 0.9955
Tm4 0.3642 0.6358 0.7500
Tm5 0.6358 0.3642 0.2500
Tm6 0.7958 0.2042 0.0045
Tm7 0.7958 0.2042 0.4955
Tm8 0.9357 0.0643 0.2500
In1 0.0750 0.9250 0.2500
In2 0.9250 0.0750 0.7500
Sn1 0.3395 0.6605 0.2500
Sn2 0.6605 0.3395 0.7500

# 10
The following is a DFT calculation (PBE) of a relaxed Tm12InSn6 crystal.

Energy of formation from the pure elements = -0.28 eV/atom
ρ = 7.67 g cm⁻³

Lattice parameters (Å, degrees): 8.7196 8.7196 8.7196 101.35 101.35 101.35
Fractional coordinates of all 19 atoms:
Tm1 0.0477 0.3258 0.9407
Tm2 0.0593 0.9523 0.6742
Tm3 0.1868 0.5568 0.4177
Tm4 0.3258 0.9407 0.0477
Tm5 0.4177 0.1868 0.5568
Tm6 0.4432 0.5823 0.8132
Tm7 0.5568 0.4177 0.1868
Tm8 0.5823 0.8132 0.4432
Tm9 0.6742 0.0593 0.9523
Tm10 0.8132 0.4432 0.5823
Tm11 0.9407 0.0477 0.3258
Tm12 0.9523 0.6742 0.0593
In1 0.0000 0.0000 0.0000
Sn1 0.1289 0.3111 0.6180
Sn2 0.3111 0.6180 0.1289
Sn3 0.3820 0.8711 0.6889
Sn4 0.6180 0.1289 0.3111
Sn5 0.6889 0.3820 0.8711
Sn6 0.8711 0.6889 0.3820

# 11
The following is a DFT calculation (PBE) of a relaxed Tm2InSn crystal.

Energy of formation from the pure elements = -0.55 eV/atom
ρ = 8.78 g cm⁻³

Lattice parameters (Å, degrees): 6.0696 4.2577 8.7841 90.00 107.85 90.00
Fractional coordinates of all 8 atoms:
Tm1 0.1977 0.2500 0.4293
Tm2 0.2960 0.7500 0.0667
Tm3 0.7040 0.2500 0.9333
Tm4 0.8023 0.7500 0.5707
In1 0.3877 0.7500 0.7026
In2 0.6123 0.2500 0.2974
Sn1 0.1182 0.2500 0.7962
Sn2 0.8818 0.7500 0.2038

# 12
The following is a DFT calculation (PBE) of a relaxed TmInSn crystal.

Energy of formation from the pure elements = -0.32 eV/atom
Distance to the lowest polymorph of the same formula = 42 kJ/mol of formula units
ρ = 8.66 g cm⁻³

Lattice parameters (Å, degrees): 5.1739 5.1739 3.3294 90.00 90.00 120.00
Fractional coordinates of all 3 atoms:
Tm1 0.0000 0.0000 0.0000
In1 0.3333 0.6667 0.5120
Sn1 0.6667 0.3333 0.4896

# 13
The following is a DFT calculation (PBE) of a relaxed TmInSn crystal.

Energy of formation from the pure elements = -0.18 eV/atom
Distance to the lowest polymorph of the same formula = 83 kJ/mol of formula units
ρ = 7.51 g cm⁻³

Lattice parameters (Å, degrees): 7.0856 7.0856 7.0856 90.00 90.00 90.00
Fractional coordinates of all 12 atoms:
Tm1 0.0555 0.4445 0.5555
Tm2 0.4445 0.5555 0.0555
Tm3 0.5555 0.0555 0.4445
Tm4 0.9445 0.9445 0.9445
In1 0.0008 0.9992 0.4992
In2 0.4992 0.0008 0.9992
In3 0.5008 0.5008 0.5008
In4 0.9992 0.4992 0.0008
Sn1 0.1927 0.1927 0.1927
Sn2 0.3073 0.8073 0.6927
Sn3 0.6927 0.3073 0.8073
Sn4 0.8073 0.6927 0.3073

# 14
The following is a DFT calculation (PBE) of a relaxed TmInSn crystal.

Energy of formation from the pure elements = -0.46 eV/atom
Distance to the lowest polymorph of the same formula = 0 kJ/mol of formula units
ρ = 8.71 g cm⁻³

Lattice parameters (Å, degrees): 8.2847 8.2847 4.2751 90.00 90.00 148.45
Fractional coordinates of all 6 atoms:
Tm1 0.0902 0.9098 0.7500
Tm2 0.9098 0.0902 0.2500
In1 0.2556 0.7444 0.2500
In2 0.7444 0.2556 0.7500
Sn1 0.4292 0.5708 0.7500
Sn2 0.5708 0.4292 0.2500

# 15
The following is a DFT calculation (PBE) of a relaxed Tm2InSn crystal.

Energy of formation from the pure elements = -0.47 eV/atom
ρ = 9.15 g cm⁻³

Lattice parameters (Å, degrees): 3.8897 3.8897 6.8530 90.00 90.00 90.00
Fractional coordinates of all 4 atoms:
Tm1 0.0000 0.0000 0.2468
Tm2 0.0000 0.0000 0.7532
In1 0.5000 0.5000 0.5000
Sn1 0.5000 0.5000 0.0000

# 16
The following is a DFT calculation (PBE) of a relaxed Tm5In4Sn crystal.

Energy of formation from the pure elements = -0.45 eV/atom
ρ = 9.22 g cm⁻³

Lattice parameters (Å, degrees): 3.3938 3.3938 22.2476 90.00 90.00 90.00
Fractional coordinates of all 10 atoms:
Tm1 0.0000 0.0000 0.0000
Tm2 0.0000 0.0000 0.1998
Tm3 0.0000 0.0000 0.4012
Tm4 0.0000 0.0000 0.5988
Tm5 0.0000 0.0000 0.8002
In1 0.5000 0.5000 0.1001
In2 0.5000 0.5000 0.3007
In3 0.5000 0.5000 0.6993
In4 0.5000 0.5000 0.8999
Sn1 0.5000 0.5000 0.5000

# 17
The following is a DFT calculation (PBE) of a relaxed Tm2In5Sn crystal.

Energy of formation from the pure elements = -0.37 eV/atom
ρ = 8.63 g cm⁻³

Lattice parameters (Å, degrees): 6.6183 13.0744 4.5812 90.00 90.00 90.00
Fractional coordinates of all 16 atoms:
Tm1 0.2348 0.1215 0.0000
Tm2 0.2652 0.6215 0.0000
Tm3 0.7348 0.3785 0.0000
Tm4 0.7652 0.8785 0.0000
In1 0.0000 0.5000 0.5000
In2 0.0154 0.7491 0.5000
In3 0.2347 0.3709 0.0000
In4 0.2653 0.8709 0.0000
In5 0.4846 0.2491 0.5000
In6 0.5000 0.0000 0.5000
In7 0.5154 0.7509 0.5000
In8 0.7347 0.1291 0.0000
In9 0.7653 0.6291 0.0000
In10 0.9846 0.2509 0.5000
Sn1 0.0000 0.0000 0.5000
Sn2 0.5000 0.5000 0.5000

# 18
The following is a DFT calculation (PBE) of a relaxed Tm7InSn5 crystal.

Energy of formation from the pure elements = -0.40 eV/atom
ρ = 8.76 g cm⁻³

Lattice parameters (Å, degrees): 8.2441 8.2441 8.2441 136.29 94.45 101.51
Fractional coordinates of all 13 atoms:
Tm1 0.0000 0.0000 0.0000
Tm2 0.2670 0.6034 0.6637
Tm3 0.3790 0.3790 0.0000
Tm4 0.4262 0.0885 0.3377
Tm5 0.7509 0.0885 0.6623
Tm6 0.8411 0.3411 0.5000
Tm7 0.9397 0.6034 0.3363
In1 0.6816 0.6816 0.0000
Sn1 0.0882 0.0975 0.4900
Sn2 0.0882 0.5982 0.9908
Sn3 0.3447 0.8447 0.5000
Sn4 0.6075 0.0975 0.0092
Sn5 0.6075 0.5982 0.5100

# 19
The following is a DFT calculation (PBE) of a relaxed Tm5In2Sn2 crystal.

Energy of formation from the pure elements = -0.53 eV/atom
ρ = 8.74 g cm⁻³

Lattice parameters (Å, degrees): 8.7373 8.7373 7.9643 90.00 90.00 55.03
Fractional coordinates of all 18 atoms:
Tm1 0.0000 0.0000 0.0000
Tm2 0.0350 0.6869 0.6720
Tm3 0.1869 0.5350 0.1720
Tm4 0.3131 0.9650 0.6720
Tm5 0.4650 0.8131 0.1720
Tm6 0.5000 0.5000 0.5000
Tm7 0.5350 0.1869 0.8280
Tm8 0.6869 0.0350 0.3280
Tm9 0.8131 0.4650 0.8280
Tm10 0.9650 0.3131 0.3280
In1 0.1276 0.8724 0.3727
In2 0.3724 0.6276 0.8727
In3 0.6276 0.3724 0.1273
In4 0.8724 0.1276 0.6273
Sn1 0.2068 0.2068 0.0000
Sn2 0.2932 0.2932 0.5000
Sn3 0.7068 0.7068 0.5000
Sn4 0.7932 0.7932 0.0000

# 20
The following is a DFT calculation (PBE) of a relaxed TmInSn2 crystal.

Energy of formation from the pure elements = -0.36 eV/atom
Distance to the lowest polymorph of the same formula = 3 kJ/mol of formula units
ρ = 8.54 g cm⁻³

Lattice parameters (Å, degrees): 5.8722 5.8722 5.8722 134.95 134.06 66.30
Fractional coordinates of all 4 atoms:
Tm1 0.0000 0.0000 0.0000
In1 0.5000 0.5000 0.0000
Sn1 0.2498 0.7498 0.5000
Sn2 0.7502 0.2502 0.5000

# 21
The following is a DFT calculation (PBE) of a relaxed Tm3In2Sn crystal.

Energy of formation from the pure elements = -0.45 eV/atom
Distance to the lowest polymorph of the same formula = 5 kJ/mol of formula units
ρ = 9.13 g cm⁻³

Lattice parameters (Å, degrees): 8.3928 8.3928 3.6817 90.00 90.00 143.14
Fractional coordinates of all 6 atoms:
Tm1 0.0000 0.0000 0.0000
Tm2 0.3375 0.6625 0.0000
Tm3 0.6625 0.3375 0.0000
In1 0.1714 0.8286 0.5000
In2 0.8286 0.1714 0.5000
Sn1 0.5000 0.5000 0.5000

# 22
The following is a DFT calculation (PBE) of a relaxed TmIn4Sn crystal.

Energy of formation from the pure elements = -0.04 eV/atom
ρ = 6.94 g cm⁻³

Lattice parameters (Å, degrees): 4.5217 4.5217 8.7446 90.00 90.00 90.00
Fractional coordinates of all 6 atoms:
Tm1 0.0000 0.0000 0.0000
In1 0.0000 0.5000 0.2563
In2 0.0000 0.5000 0.7437
In3 0.5000 0.0000 0.2563
In4 0.5000 0.0000 0.7437
Sn1 0.5000 0.5000 0.5000